Entry 1:
Below is an optimized crystal structure of Fe2CoAsO6, with properties calculated at the PBE+U level.

a b c (Å): 5.0172 5.0249 5.5012
angles (deg): 116.54 90.67 119.81
Closest atoms and distances in Å follow each position.
Space group P1 (No. 1)
Symmetry-distinct sites (fractional):
Fe (0.0000, 0.0000, 0.0000) [1 per cell]  6 O 1.96-1.97
Fe (0.4815, 0.9650, 0.4455) [1 per cell]  6 O 2.04-2.27
Co (0.2014, 0.4103, 0.6150) [1 per cell]  3 O 2.01-2.03
As (0.6845, 0.3693, 0.0520) [1 per cell]  6 O 1.86-1.92
O (0.0492, 0.4578, 0.2528) [1 per cell]  1 As 1.86, 1 Fe 1.96
O (0.2937, 0.1881, 0.8013) [1 per cell]  1 As 1.90, 1 Fe 1.96, 1 Co 2.01
O (0.4164, 0.2025, 0.2527) [1 per cell]  1 As 1.86, 2 Fe 1.97-2.04
O (0.6113, 0.9103, 0.7984) [1 per cell]  1 As 1.92, 1 Fe 1.97, 1 Co 2.03
O (0.7899, 0.8363, 0.2516) [1 per cell]  1 As 1.86, 1 Fe 1.97
O (0.8963, 0.5102, 0.8053) [1 per cell]  1 As 1.90, 1 Fe 1.96, 1 Co 2.01

Calculated values
crystal system: triclinic
DFT total energy: -62.33 eV/f.u.

=====

Entry 2:
Below is an optimized crystal structure of FeCo2AsO6, with properties calculated at the PBE+U level.

a b c (Å): 4.9745 4.9848 5.4952
angles (deg): 90.04 116.91 119.90
Closest atoms and distances in Å follow each position.
Space group P1 (No. 1)
Symmetry-distinct sites (fractional):
Fe (0.0000, 0.0000, 0.0000) [1 per cell]  6 O 2.05-2.26
Co (0.5585, 0.2770, 0.8382) [1 per cell]  6 O 2.02-2.26
Co (0.6039, 0.8004, 0.4037) [1 per cell]  6 O 1.92-1.94
As (0.9651, 0.4804, 0.4459) [1 per cell]  6 O 1.87-1.88
O (0.0648, 0.2085, 0.6493) [1 per cell]  1 As 1.87, 2 Co 1.94-2.02
O (0.1117, 0.4222, 0.1998) [1 per cell]  1 As 1.88, 1 Co 1.93, 1 Fe 2.05
O (0.4423, 0.8510, 0.6522) [1 per cell]  1 As 1.88, 2 Co 1.94-2.03
O (0.5146, 0.0890, 0.2000) [1 per cell]  1 As 1.88, 1 Co 1.93, 1 Fe 2.07
O (0.7768, 0.6845, 0.1997) [1 per cell]  1 As 1.88, 1 Co 1.92, 1 Fe 2.07
O (0.7979, 0.5854, 0.6515) [1 per cell]  1 As 1.88, 2 Co 1.94-2.03

Calculated values
crystal system: triclinic
DFT total energy: -62.10 eV/f.u.

=====

Entry 3:
Below is an optimized crystal structure of FeCoAs2O6, with properties calculated at the PBE+U level.

a b c (Å): 13.4388 8.5546 5.0244
angles (deg): 90.00 103.15 90.00
Closest atoms and distances in Å follow each position.
Space group C2/c (No. 15)
Symmetry-distinct sites (fractional):
Fe (0.0000, 0.0793, 0.2500) [4 per cell]  6 O 1.88-2.02
Co (0.0000, 0.2733, 0.7500) [4 per cell]  6 O 2.08-2.19
As (0.1698, 0.3893, 0.3363) [8 per cell]  3 O 1.75-1.91
O (0.0729, 0.0831, 0.6165) [8 per cell]  2 Fe 1.88-1.91, 1 Co 2.09
O (0.0872, 0.2510, 0.1478) [8 per cell]  1 As 1.75
O (0.1104, 0.4322, 0.6307) [8 per cell]  2 As 1.87-1.91

Calculated values
crystal system: monoclinic
DFT total energy: -60.02 eV/f.u.

=====

| no. | density (g cm⁻³) |
| --- | --- |
| 1 | 5.53 |
| 2 | 5.68 |
| 3 | 4.26 |